[1]
Below is an optimized crystal structure of PaGaP2, with properties calculated at the GGA-PBE level.

Output
Raw total energy = -0.4517 Ry per atom
DOS(E_F) = 1.5 states/eV/f.u.
Energy of formation from the pure elements = -0.31 eV/atom

CIF file:
```
data_PaGaP2
_chemical_formula_sum 'Pa1 Ga1 P2'
_cell_length_a 4.0882
_cell_length_b 4.0882
_cell_length_c 8.1375
_cell_angle_alpha 75.45
_cell_angle_beta 75.45
_cell_angle_gamma 60.00
_symmetry_space_group_name_H-M 'P 1'
_symmetry_Int_Tables_number 1
loop_
_symmetry_equiv_pos_as_xyz
'x,y,z'
loop_
_atom_site_label
_atom_site_type_symbol
_atom_site_fract_x
_atom_site_fract_y
_atom_site_fract_z
Pa1 Pa 0.5000 0.5000 0.5000
P1 P 0.8940 0.8940 0.3181
P2 P 0.1060 0.1060 0.6819
Ga1 Ga 0.0000 0.0000 0.0000
```

[2]
Below is an optimized crystal structure of Pa2GaP3Rh4, with properties calculated at the GGA-PBE level.

Output
Raw total energy = -0.5667 Ry per atom
DOS(E_F) = 7.2 states/eV/f.u.
Energy of formation from the pure elements = -0.94 eV/atom

CIF file:
```
data_Pa2GaP3Rh4
_chemical_formula_sum 'Pa2 Ga1 P3 Rh4'
_cell_length_a 3.9780
_cell_length_b 3.9780
_cell_length_c 10.4411
_cell_angle_alpha 90.00
_cell_angle_beta 90.00
_cell_angle_gamma 90.00
_symmetry_space_group_name_H-M 'P 1'
_symmetry_Int_Tables_number 1
loop_
_symmetry_equiv_pos_as_xyz
'x,y,z'
loop_
_atom_site_label
_atom_site_type_symbol
_atom_site_fract_x
_atom_site_fract_y
_atom_site_fract_z
Pa1 Pa 0.5000 0.0000 0.2422
Pa2 Pa 0.0000 0.5000 0.7578
P1 P 0.5000 0.0000 0.8670
P2 P 0.0000 0.0000 0.5000
P3 P 0.0000 0.5000 0.1330
Rh1 Rh 0.5000 0.5000 0.0000
Rh2 Rh 0.5000 0.0000 0.6483
Rh3 Rh 0.0000 0.5000 0.3517
Rh4 Rh 0.0000 0.0000 0.0000
Ga1 Ga 0.5000 0.5000 0.5000
```

[3]
Below is an optimized crystal structure of PaGaP2Rh5, with properties calculated at the GGA-PBE level.

Output
Raw total energy = -0.5348 Ry per atom
DOS(E_F) = 3.1 states/eV/f.u.
Energy of formation from the pure elements = -0.60 eV/atom

CIF file:
```
data_PaGaP2Rh5
_chemical_formula_sum 'Pa1 Ga1 P2 Rh5'
_cell_length_a 3.9004
_cell_length_b 3.9004
_cell_length_c 11.0522
_cell_angle_alpha 90.00
_cell_angle_beta 90.00
_cell_angle_gamma 90.00
_symmetry_space_group_name_H-M 'P 1'
_symmetry_Int_Tables_number 1
loop_
_symmetry_equiv_pos_as_xyz
'x,y,z'
loop_
_atom_site_label
_atom_site_type_symbol
_atom_site_fract_x
_atom_site_fract_y
_atom_site_fract_z
Rh1 Rh 0.0000 0.5000 0.8200
Rh2 Rh 0.5000 0.0000 0.1800
Rh3 Rh 0.5000 0.5000 0.5000
Rh4 Rh 0.0000 0.5000 0.1800
Rh5 Rh 0.5000 0.0000 0.8200
Pa1 Pa 0.0000 0.0000 0.0000
Ga1 Ga 0.0000 0.0000 0.5000
P1 P 0.5000 0.5000 0.2924
P2 P 0.5000 0.5000 0.7076
```